The following is a PBE-GGA calculation of a relaxed structure of DySiTc, from Alexandria via LeMat-Bulk.

Results
**Formation energy without anion corrections**: -40.0 kJ/mol of atoms
**Energy above the most stable polymorph in this dataset**: 178 meV per atom

abc: 4.2397 5.8896 5.6588
angles: 109.20 112.00 90.00
Fractional positions:
Si 0.3916 0.3248 0.7832
Si 0.6084 0.6752 0.2168
Dy 0.1048 0.3088 0.2097
Dy 0.8952 0.6912 0.7903
Tc 0.7846 0.1145 0.5692
Tc 0.2154 0.8855 0.4308

---

The following is a PBE-GGA calculation of a relaxed structure of MnPSeCl2, from Alexandria via LeMat-Bulk.

Results
**Formation energy without anion corrections**: 59.8 kJ/mol of atoms
**Energy above the most stable polymorph in this dataset**: 291 meV per atom

abc: 4.8107 4.8107 5.2696
angles: 90.00 90.00 90.00
Each line ends with the local moment (μB).
Fractional positions:
P 0.0000 0.0000 0.5000  -0.08
Mn 0.5000 0.5000 0.5000  4.56
Se 0.0000 0.0000 0.0000  0.01
Cl 0.0000 0.5000 0.0000  0.02
Cl 0.5000 0.0000 0.0000  0.02

---

The following is a PBE-GGA calculation of a relaxed structure of InNi3H3, from Alexandria via LeMat-Bulk.

Results
**DFT total energy**: -4.39 eV per atom

abc: 4.9567 4.9567 4.9567
angles: 90.00 90.00 90.00
Fractional positions:
In 0.5000 0.5000 0.5000
In 0.0000 0.0000 0.0000
Ni 0.0000 0.5000 0.7500
Ni 0.5000 0.2500 0.0000
Ni 0.7500 0.0000 0.5000
Ni 0.0000 0.5000 0.2500
Ni 0.5000 0.7500 0.0000
Ni 0.2500 0.0000 0.5000
H 0.5000 0.0000 0.7500
H 0.0000 0.2500 0.5000
H 0.7500 0.5000 0.0000
H 0.5000 0.0000 0.2500
H 0.0000 0.7500 0.5000
H 0.2500 0.5000 0.0000

---

The following is a PBE-GGA calculation of a relaxed structure of La4ErCd5, from Alexandria via LeMat-Bulk.

Results
**DFT formation energy**: -320 meV per atom

abc: 3.8612 3.8612 19.7595
angles: 90.00 90.00 90.00
Each line ends with the local moment (μB).
Fractional positions:
La 0.0000 0.0000 0.1924  0.16
La 0.0000 0.0000 0.3976  0.12
La 0.0000 0.0000 0.6024  0.12
La 0.0000 0.0000 0.8076  0.16
Er 0.0000 0.0000 0.0000  0.09
Cd 0.5000 0.5000 0.0866  0.01
Cd 0.5000 0.5000 0.2960  0.01
Cd 0.5000 0.5000 0.5000  0.01
Cd 0.5000 0.5000 0.7040  0.01
Cd 0.5000 0.5000 0.9134  0.01

---

The following is a PBE-GGA calculation of a relaxed structure of Ho3Cu3Rh2, from Alexandria via LeMat-Bulk.

Results
**DFT formation energy**: -494 meV per atom

abc: 5.2706 7.2024 16.0683
angles: 90.00 90.00 90.00
Fractional positions:
Ho 0.1210 0.4668 0.3947
Ho 0.6210 0.0332 0.6053
Ho 0.8790 0.5332 0.8947
Ho 0.3790 0.9668 0.1053
Ho 0.8790 0.5332 0.6053
Ho 0.3790 0.9668 0.3947
Ho 0.1210 0.4668 0.1053
Ho 0.6210 0.0332 0.8947
Ho 0.6384 0.3319 0.2500
Ho 0.1384 0.1681 0.7500
Ho 0.3616 0.6681 0.7500
Ho 0.8616 0.8319 0.2500
Cu 0.1416 0.1779 0.2500
Cu 0.6416 0.3221 0.7500
Cu 0.8584 0.8221 0.7500
Cu 0.3584 0.6779 0.2500
Cu 0.5918 0.3244 0.4742
Cu 0.0918 0.1756 0.5258
Cu 0.4082 0.6756 0.9742
Cu 0.9082 0.8244 0.0258
Cu 0.4082 0.6756 0.5258
Cu 0.9082 0.8244 0.4742
Cu 0.5918 0.3244 0.0258
Cu 0.0918 0.1756 0.9742
Rh 0.8685 0.1177 0.3821
Rh 0.3685 0.3823 0.6179
Rh 0.1315 0.8823 0.8821
Rh 0.6315 0.6177 0.1179
Rh 0.1315 0.8823 0.6179
Rh 0.6315 0.6177 0.3821
Rh 0.8685 0.1177 0.1179
Rh 0.3685 0.3823 0.8821

---

The following is a PBE-GGA calculation of a relaxed structure of OsRhSe2Br, from Alexandria via LeMat-Bulk.

Results
**Formation energy without anion corrections**: 100.4 kJ/mol of atoms
**Energy above the most stable polymorph in this dataset**: 0 meV per atom

abc: 4.7583 4.7583 5.2902
angles: 90.00 90.00 90.00
Each line ends with the local moment (μB).
Fractional positions:
Rh 0.5000 0.5000 0.5000  1.37
Os 0.0000 0.0000 0.0000  -0.07
Se 0.0000 0.5000 0.0000  0.07
Se 0.5000 0.0000 0.0000  0.07
Br 0.0000 0.0000 0.5000  0.08

---

The following is a PBE-GGA calculation of a relaxed structure of Ac8Te3Rh3N, from Alexandria via LeMat-Bulk.

Results
**Formation energy without anion corrections**: -92.1 kJ/mol of atoms

abc: 8.6642 8.6631 9.4829
angles: 117.20 90.00 120.00
Fractional positions:
Ac 0.2631 0.5263 0.2898
Ac 0.7369 0.4737 0.7102
Ac 0.7785 0.5570 0.3069
Ac 0.2215 0.4430 0.6931
Ac 0.7786 0.0283 0.3068
Ac 0.2214 0.9717 0.6932
Ac 0.2496 0.0282 0.3068
Ac 0.7504 0.9718 0.6932
Te 0.0000 0.0000 0.0000
Te 0.0000 0.5000 0.0000
Te 0.5000 0.5000 0.0000
Rh 0.5000 0.0000 0.5000
Rh 0.5000 0.5000 0.5000
Rh 0.0000 0.5000 0.5000
N 0.0000 0.0000 0.5000

---

The following is a PBE-GGA calculation of a relaxed structure of Fe3MoN, from Alexandria via LeMat-Bulk.

Results
**Formation energy without anion corrections**: 245.0 kJ/mol of atoms
**Energy above the most stable polymorph in this dataset**: 2415 meV per atom

abc: 4.4638 4.4638 4.4638
angles: 90.00 90.00 90.00
Each line ends with the local moment (μB).
Fractional positions:
Mo 0.0000 0.0000 0.0000  -0.63
Fe 0.0000 0.5000 0.0000  2.04
Fe 0.0000 0.0000 0.5000  2.16
Fe 0.5000 0.0000 0.0000  1.75
N 0.5000 0.5000 0.5000  0.91